Entry 1:
# NaNpSc2O8

A geometry-optimized NaNpSc2O8 structure (PBE-GGA, the Alexandria database).

Cell lengths 4.9802, 4.9597, 6.9916 Å; angles 90.00, 90.00, 88.70 degrees
Last column: nearest neighbours and their distance in Å.
Element x y z (fractional)
O  0.8110  0.1925  0.2075  1 Np 1.96, 1 Sc 2.15
O  0.3064  0.3034  0.0000  2 Sc 2.06, 1 Np 2.17
O  0.8110  0.1925  0.7925  1 Np 1.96, 1 Sc 2.15
O  0.3958  0.3888  0.5000  1 O 1.53
O  0.1890  0.8075  0.7925  1 Np 1.96, 1 Sc 2.15
O  0.1890  0.8075  0.2075  1 Np 1.96, 1 Sc 2.15
O  0.6936  0.6966  0.0000  2 Sc 2.06, 1 Np 2.17
O  0.6042  0.6112  0.5000  1 O 1.53
Na  0.0000  0.0000  0.5000  4 O 2.44
Np  0.0000  0.0000  0.0000  6 O 1.96-2.17
Sc  0.5000  0.5000  0.2185  6 O 2.06-2.15
Sc  0.5000  0.5000  0.7815  6 O 2.06-2.15

Calculated values
- crystal system = monoclinic
- volume (Å³ per cell) = 173
- E (eV per atom) = -8.1131

***

Entry 2:
# SrAl2Ni

A geometry-optimized SrAl2Ni structure (PBE-GGA, the Alexandria database).

Cell lengths 4.1735, 3.6320, 6.2819 Å; angles 73.16, 90.00, 90.00 degrees
Last column: nearest neighbours and their distance in Å.
Element x y z (fractional)
Ni  0.0000  0.3567  0.4107  4 Al 2.32-2.42
Al  0.5000  0.4421  0.2410  2 Ni 2.32
Al  0.0000  0.9905  0.1436  2 Ni 2.42
Sr  0.5000  0.7106  0.7047  3 Al 3.22-3.33, 4 Ni 3.28-3.29

Calculated values
- crystal system = orthorhombic
- formation enthalpy at 0 K (eV per atom) = -0.131
- volume (Å³ per cell) = 91

***

Entry 3:
# ScSiIr2

A geometry-optimized ScSiIr2 structure (PBE-GGA, the Alexandria database).

Cell lengths 4.4510, 4.4510, 4.4510 Å; angles 60.00, 60.00, 60.00 degrees
Last column: nearest neighbours and their distance in Å.
Element x y z (fractional)
Sc  0.5000  0.5000  0.5000  4 Si 2.73, 4 Ir 2.73
Ir  0.7500  0.7500  0.7500  4 Sc 2.73, 4 Ir 2.73
Ir  0.0000  0.0000  0.0000  4 Ir 2.73, 4 Si 2.73
Si  0.2500  0.2500  0.2500  4 Ir 2.73, 4 Sc 2.73

Calculated values
- crystal system = cubic
- volume (Å³ per cell) = 62
- E (eV per atom) = -7.6017

***

Entry 4:
# Sb2As

A geometry-optimized Sb2As structure (PBE-GGA, the Alexandria database).

Cell lengths 6.4026, 6.4026, 8.6943 Å; angles 50.18, 50.18, 38.69 degrees
Last column: nearest neighbours and their distance in Å.
Element x y z (fractional)
As  0.2237  0.2237  0.8322  5 Sb 2.71-2.96
As  0.7763  0.7763  0.1678  5 Sb 2.71-2.96
Sb  0.8747  0.8747  0.5090  3 Sb 2.92-3.12, 2 As 2.96
Sb  0.5607  0.5607  0.1513  3 As 2.71-2.94
Sb  0.1253  0.1253  0.4910  3 Sb 2.92-3.12, 2 As 2.96
Sb  0.4393  0.4393  0.8487  3 As 2.71-2.94

Calculated values
- energy above the most stable polymorph in this dataset (meV/atom) = 35.3
- crystal system = monoclinic
- volume (Å³ per cell) = 164

***

Entry 5:
# Cs2In3Bi4Pb

A geometry-optimized Cs2In3Bi4Pb structure (PBE-GGA, the Alexandria database).

Cell lengths 5.4265, 5.4265, 13.2921 Å; angles 90.00, 90.00, 90.00 degrees
Last column: nearest neighbours and their distance in Å.
Element x y z (fractional)
In  0.0000  0.5000  0.1254  5 Bi 3.17-3.18
In  0.0000  0.0000  0.5000  4 Bi 3.26
In  0.5000  0.0000  0.8746  5 Bi 3.17-3.18
Bi  0.0000  0.5000  0.3637  3 In 3.17-3.26, 2 Pb 3.26
Bi  0.0000  0.0000  0.0000  4 In 3.18
Bi  0.5000  0.0000  0.6363  3 In 3.17-3.26, 2 Pb 3.26
Bi  0.5000  0.5000  0.0000  4 In 3.18
Pb  0.5000  0.5000  0.5000  4 Bi 3.26
Cs  0.0000  0.5000  0.7574  6 In 4.14-4.37, 8 Bi 4.16-4.21, 2 Pb 4.37
Cs  0.5000  0.0000  0.2426  6 In 4.14-4.37, 8 Bi 4.16-4.21, 2 Pb 4.37

Calculated values
- crystal system = tetragonal
- formation enthalpy at 0 K (eV per atom) = -0.194
- volume (Å³ per cell) = 391

***

Entry 6:
# BeNbS2

A geometry-optimized BeNbS2 structure (PBE-GGA, the Alexandria database).

Cell lengths 5.5007, 5.5007, 6.0046 Å; angles 62.74, 62.74, 90.00 degrees
Last column: nearest neighbours and their distance in Å.
Element x y z (fractional)
S  0.1815  0.6250  0.2500  2 Be 2.08
S  0.3750  0.4315  0.7500  2 Be 2.08
S  0.5685  0.1250  0.2500  2 Be 2.08
S  0.8750  0.8185  0.7500  2 Be 2.08
Nb  0.0000  0.0000  0.0000  4 S 2.46
Nb  0.7500  0.2500  0.5000  4 S 2.46
Be  0.2500  0.7500  0.5000  4 S 2.08
Be  0.5000  0.5000  0.0000  4 S 2.08

Calculated values
- crystal system = tetragonal
- volume (Å³ per cell) = 138
- E (eV per atom) = -6.0122

***

Entry 7:
# Pa2Tc3Sb2

A geometry-optimized Pa2Tc3Sb2 structure (PBE-GGA, the Alexandria database).

Cell lengths 3.7159, 6.3226, 7.1077 Å; angles 89.40, 105.15, 90.00 degrees
Last column: nearest neighbours and their distance in Å.
Element x y z (fractional)
Sb  0.1247  0.3171  0.2494  4 Tc 2.65-2.71
Sb  0.8753  0.6829  0.7506  4 Tc 2.65-2.71
Pa  0.3672  0.1298  0.7344  4 Tc 2.61-2.72
Pa  0.6328  0.8702  0.2656  4 Tc 2.61-2.72
Tc  0.7682  0.3266  0.5363  2 Pa 2.61, 3 Sb 2.70-2.71, 2 Tc 2.91
Tc  0.2318  0.6734  0.4637  2 Pa 2.61, 3 Sb 2.70-2.71, 2 Tc 2.91
Tc  0.0000  0.0000  0.0000  2 Sb 2.65, 4 Pa 2.72

Calculated values
- energy above the most stable polymorph in this dataset (meV/atom) = 147.3
- crystal system = monoclinic
- volume (Å³ per cell) = 161

***

Entry 8:
# BeBPdAu

A geometry-optimized BeBPdAu structure (PBE-GGA, the Alexandria database).

Cell lengths 2.9033, 2.9020, 5.6736 Å; angles 90.00, 90.33, 90.00 degrees
Last column: nearest neighbours and their distance in Å.
Element x y z (fractional)
Au  0.8941  0.0000  0.3700  4 Be 2.40-2.42, 1 B 2.44
Pd  0.4017  0.5000  0.7617  1 Be 2.19, 4 B 2.29
B  0.9030  0.0000  0.9403  4 Pd 2.29, 4 Be 2.33-2.40, 1 Au 2.44
Be  0.3871  0.5000  0.1475  1 Pd 2.19, 4 B 2.33-2.40, 4 Au 2.40-2.42

Calculated values
- energy above the most stable polymorph in this dataset (meV/atom) = 61.7
- crystal system = monoclinic
- formation enthalpy at 0 K (eV per atom) = 0.067
- volume (Å³ per cell) = 48

***

Entry 9:
# Dy2TmTe2N2

A geometry-optimized Dy2TmTe2N2 structure (PBE-GGA, the Alexandria database).

Cell lengths 4.3223, 4.3223, 8.5874 Å; angles 104.58, 104.58, 90.00 degrees
Last column: nearest neighbours and their distance in Å.
Element x y z (fractional)
Te  0.8133  0.8133  0.6266  1 Tm 3.00
Te  0.1867  0.1867  0.3734  1 Tm 3.00
N  0.5000  0.0000  0.0000  2 Tm 2.16
N  0.0000  0.5000  0.0000  2 Tm 2.16
Dy  0.3998  0.3998  0.7996  4 N 2.69
Dy  0.6002  0.6002  0.2004  4 N 2.69
Tm  0.0000  0.0000  0.0000  4 N 2.16

Calculated values
- crystal system = tetragonal
- volume (Å³ per cell) = 150
- E (eV per atom) = -6.4218

***

Entry 10:
# Y5NiAu4

A geometry-optimized Y5NiAu4 structure (PBE-GGA, the Alexandria database).

Cell lengths 3.5615, 3.5615, 17.9766 Å; angles 90.00, 90.00, 90.00 degrees
Last column: nearest neighbours and their distance in Å.
Element x y z (fractional)
Au  0.0000  0.0000  0.6020  8 Y 3.11-3.12
Au  0.0000  0.0000  0.3980  8 Y 3.11-3.12
Au  0.0000  0.0000  0.8061  8 Y 3.11-3.12
Au  0.0000  0.0000  0.1939  8 Y 3.11-3.12
Y  0.5000  0.5000  0.9088  4 Ni 3.01, 4 Au 3.12, 1 Y 3.28
Y  0.5000  0.5000  0.5000  8 Au 3.11
Y  0.5000  0.5000  0.2953  8 Au 3.11-3.12
Y  0.5000  0.5000  0.7047  8 Au 3.11-3.12
Y  0.5000  0.5000  0.0912  4 Ni 3.01, 4 Au 3.12, 1 Y 3.28
Ni  0.0000  0.0000  0.0000  8 Y 3.01

Calculated values
- crystal system = tetragonal
- formation enthalpy at 0 K (eV per atom) = -0.756
- volume (Å³ per cell) = 228

***

Entry 11:
# NiTeOs2

A geometry-optimized NiTeOs2 structure (PBE-GGA, the Alexandria database).

Cell lengths 8.3642, 8.3642, 8.3642 Å; angles 20.53, 20.53, 20.53 degrees
Last column: nearest neighbours and their distance in Å.
Element x y z (fractional)
Os  0.7449  0.7449  0.7449  3 Ni 2.58, 3 Te 2.77
Os  0.2551  0.2551  0.2551  3 Ni 2.58, 3 Te 2.77
Te  0.5000  0.5000  0.5000  6 Os 2.77, 6 Te 2.98
Ni  0.0000  0.0000  0.0000  6 Os 2.58

Calculated values
- crystal system = trigonal
- volume (Å³ per cell) = 63
- E (eV per atom) = -6.9507

***

Entry 12:
# Ti2Al2Ge

A geometry-optimized Ti2Al2Ge structure (PBE-GGA, the Alexandria database).

Cell lengths 6.5812, 6.5812, 3.8425 Å; angles 90.00, 90.00, 90.00 degrees
Last column: nearest neighbours and their distance in Å.
Element x y z (fractional)
Al  0.1320  0.3680  0.0000  1 Al 2.46, 2 Ge 2.57, 2 Ti 2.66
Al  0.6320  0.1320  0.0000  1 Al 2.46, 2 Ge 2.57, 2 Ti 2.66
Al  0.3680  0.8680  0.0000  1 Al 2.46, 2 Ge 2.57, 2 Ti 2.66
Al  0.8680  0.6320  0.0000  1 Al 2.46, 2 Ge 2.57, 2 Ti 2.66
Ti  0.6699  0.8301  0.5000  6 Al 2.66-2.78
Ti  0.8301  0.3301  0.5000  6 Al 2.66-2.78
Ti  0.3301  0.1699  0.5000  6 Al 2.66-2.78
Ti  0.1699  0.6699  0.5000  6 Al 2.66-2.78
Ge  0.5000  0.5000  0.0000  4 Al 2.57
Ge  0.0000  0.0000  0.0000  4 Al 2.57

Calculated values
- energy above the most stable polymorph in this dataset (meV/atom) = 214.1
- crystal system = tetragonal
- formation enthalpy at 0 K (eV per atom) = -0.160
- volume (Å³ per cell) = 166

***

Entry 13:
# LiCaCd4

A geometry-optimized LiCaCd4 structure (PBE-GGA, the Alexandria database).

Cell lengths 5.0252, 7.7618, 7.8506 Å; angles 90.00, 108.67, 90.00 degrees
Last column: nearest neighbours and their distance in Å.
Element x y z (fractional)
Cd  0.4107  0.2500  0.8215  2 Li 2.70
Cd  0.2223  0.4294  0.4446  1 Li 2.68, 3 Cd 2.79-2.86
Cd  0.7777  0.9294  0.5554  1 Li 2.68, 3 Cd 2.79-2.86
Cd  0.5893  0.7500  0.1785  2 Li 2.70
Cd  0.0000  0.5000  0.0000  2 Li 3.02, 2 Cd 3.35
Cd  0.2223  0.0706  0.4446  1 Li 2.68, 3 Cd 2.79-2.86
Cd  0.0000  0.0000  0.0000  2 Li 3.02, 2 Cd 3.35
Cd  0.7777  0.5706  0.5554  1 Li 2.68, 3 Cd 2.79-2.86
Li  0.8442  0.2500  0.6884  4 Cd 2.68-2.70
Li  0.1558  0.7500  0.3116  4 Cd 2.68-2.70
Ca  0.6153  0.2500  0.2306  5 Cd 3.04-3.28, 1 Li 3.41
Ca  0.3847  0.7500  0.7694  5 Cd 3.04-3.28, 1 Li 3.41

Calculated values
- energy above the most stable polymorph in this dataset (meV/atom) = 75.7
- crystal system = orthorhombic
- formation enthalpy at 0 K (eV per atom) = -0.171
- volume (Å³ per cell) = 290

***

Number 1: spin magnetization 0.0 μB/f.u.. Number 2: spin magnetization 0.0 μB/f.u.. Number 3: spin magnetization 0.0 μB/f.u.. Number 4: spin magnetization 0.0 μB/f.u.. Number 5: spin magnetization 0.0 μB/f.u.. Number 6: spin magnetization 0.9 μB/f.u.. Number 7: spin magnetization 0.0 μB/f.u.. Number 8: spin magnetization 0.0 μB/f.u.. Number 9: spin magnetization 0.0 μB/f.u.. Number 10: spin magnetization 0.0 μB/f.u.. Number 11: spin magnetization 0.0 μB/f.u.. Number 12: spin magnetization 0.0 μB/f.u.. Number 13: spin magnetization 0.0 μB/f.u..